Entry 1:
## RbLa3Tc (GGA-PBEsol)

Data for a relaxed RbLa3Tc crystal.

Lattice parameters (Å, degrees): 5.4699 5.4699 5.4699 90.00 90.00 90.00
Space group Pm-3m (No. 221)
One atom of each set of equivalent atoms:
Rb: 0.0000 0.0000 0.0000
La: 0.0000 0.0000 0.5000
Tc: 0.5000 0.5000 0.5000

Properties
Its theoretical density is 6.1 g/cm3. As for the density of states at the Fermi level: 5.6 states/eV/f.u. As for the formation energy from the elements: 1.80 eV per atom. As for the crystal system: cubic.



Entry 2:
## RbLaTi3 (GGA-PBEsol)

Data for a relaxed RbLaTi3 crystal.

Lattice parameters (Å, degrees): 4.9181 4.9181 4.9181 90.00 90.00 90.00
Space group Pm-3m (No. 221)
One atom of each set of equivalent atoms:
Rb: 0.0000 0.0000 0.0000
La: 0.5000 0.5000 0.5000
Ti: 0.0000 0.0000 0.5000

Properties
Its theoretical density is 5.1 g/cm3. As for the density of states at the Fermi level: 6.2 states/eV/f.u. As for the formation energy from the elements: 1.68 eV per atom. As for the crystal system: cubic.



Entry 3:
## Rb3LaW (GGA-PBEsol)

Data for a relaxed Rb3LaW crystal.

Lattice parameters (Å, degrees): 6.7076 6.7076 6.7076 90.00 90.00 90.00
Space group Pm-3m (No. 221)
One atom of each set of equivalent atoms:
Rb: 0.0000 0.0000 0.5000
La: 0.0000 0.0000 0.0000
W: 0.5000 0.5000 0.5000

Properties
Its theoretical density is 3.2 g/cm3. As for the density of states at the Fermi level: 6.4 states/eV/f.u. As for the formation energy from the elements: 2.32 eV per atom. As for the crystal system: cubic.